[1]
{
  "formula": "AcLaGa2Ir2",
  "functional": "GGA-PBE",
  "state": "optimized geometry",
  "cell": [[4.4135, 0.0000, 0.0000], [-2.2068, 3.8222, 0.0000], [0.0000, 0.0000, 8.2838]],
  "species": ["Ir", "Ac", "Ir", "Ga", "La", "Ga"],
  "frac_coords": [[0.6667, 0.3333, 0.2630], [0.0000, 0.0000, 0.0000], [0.3333, 0.6667, 0.7370], [0.6667, 0.3333, 0.7376], [0.0000, 0.0000, 0.5000], [0.3333, 0.6667, 0.2624]],
  "vol_a3_per_cell": 140,
  "energy_ev_per_atom": -6.2001
}

***

[2]
{
  "formula": "Li2AcGaIr",
  "functional": "GGA-PBE",
  "state": "optimized geometry",
  "cell": [[-3.2733, 2.0513, -1.4161], [-1.3389, -3.5382, -2.0305], [-0.7866, -0.8578, 6.5526]],
  "species": ["Ir", "Li", "Ga", "Li", "Ac"],
  "frac_coords": [[0.8312, 0.8312, 0.6623], [0.7023, 0.2023, 0.4046], [0.2014, 0.7014, 0.4028], [0.0537, 0.0537, 0.1074], [0.4236, 0.4236, 0.8471]],
  "vol_a3_per_cell": 105,
  "energy_ev_per_atom": -4.3329
}

***

no.,DFT formation energy (kJ per mole of atoms),magnetic moment (μB per atom)
1,-70.6,0.000
2,-35.5,0.000